[1]
Compound: As2RuAu
Source: Alexandria via LeMat-Bulk
Functional: PBE
Structure: relaxed

Output
Total DFT energy (no corrections) ... -20.38 eV for the cell shown
Excess energy over the best structure of this formula in the dataset ... 323 meV per atom
Magnetization ... 0.00 μB per cell
Volume ... 18.0 Å³ per atom
N(E_F) ... 4.03 states/eV per cell

a b c (Å): 4.1370 5.0882 4.1174
angles (deg): 67.65 86.58 112.48
Fractional coordinates of all 4 atoms:
As 0.5000 0.0000 0.5000
Ru 0.5000 0.5000 0.0000
Au 0.0000 0.5000 0.5000
As 0.0000 0.0000 0.0000


[2]
Compound: As2RuAu
Source: Alexandria via LeMat-Bulk
Functional: PBE
Structure: relaxed

Output
Total DFT energy (no corrections) ... -20.94 eV for the cell shown
Excess energy over the best structure of this formula in the dataset ... 181 meV per atom
Magnetization ... 0.00 μB per cell
Volume ... 18.7 Å³ per atom
N(E_F) ... 2.97 states/eV per cell

a b c (Å): 2.8500 2.8500 10.4830
angles (deg): 90.00 90.00 118.29
Fractional coordinates of all 4 atoms:
As 0.0000 0.0000 0.9475
Au 0.5000 0.5000 0.2500
Ru 0.5000 0.5000 0.7500
As 0.0000 0.0000 0.5525


[3]
Compound: AsRuAu2
Source: Alexandria via LeMat-Bulk
Functional: PBE
Structure: relaxed

Output
Total DFT energy (no corrections) ... -18.86 eV for the cell shown
Magnetization ... 1.10 μB per cell
Volume ... 17.2 Å³ per atom
N(E_F) ... 3.03 states/eV per cell

a b c (Å): 2.8381 4.2212 5.7422
angles (deg): 90.00 90.00 90.00
Last column: magnetic moment on the atom in μB.
Fractional coordinates of all 4 atoms:
As 0.5000 0.5000 0.7500  -0.02
Ru 0.5000 0.5000 0.2500  1.06
Au 0.0000 0.0000 0.4934  0.02
Au 0.0000 0.0000 0.0066  0.02


[4]
Compound: As2RuAu
Source: Alexandria via LeMat-Bulk
Functional: PBE
Structure: relaxed

Output
Total DFT energy (no corrections) ... -20.83 eV for the cell shown
Excess energy over the best structure of this formula in the dataset ... 211 meV per atom
Magnetization ... 0.00 μB per cell
Volume ... 17.0 Å³ per atom
N(E_F) ... 4.20 states/eV per cell

a b c (Å): 3.1706 5.4378 5.3973
angles (deg): 46.89 90.00 90.00
Fractional coordinates of all 4 atoms:
As 0.0000 0.0000 0.0000
Ru 0.0000 0.0000 0.5000
As 0.5000 0.5000 0.0000
Au 0.5000 0.5000 0.5000


[5]
Compound: AsRuAu2
Source: Alexandria via LeMat-Bulk
Functional: PBE
Structure: relaxed

Output
Total DFT energy (no corrections) ... -19.00 eV for the cell shown
Magnetization ... 0.00 μB per cell
Volume ... 16.9 Å³ per atom
N(E_F) ... 3.68 states/eV per cell

a b c (Å): 4.7653 4.7653 4.7653
angles (deg): 126.51 126.51 79.05
Fractional coordinates of all 4 atoms:
Au 0.0000 0.0000 0.0000
As 0.7500 0.2500 0.5000
Au 0.2500 0.7500 0.5000
Ru 0.5000 0.5000 0.0000


[6]
Compound: As2RuAu
Source: Alexandria via LeMat-Bulk
Functional: PBE
Structure: relaxed

Output
Total DFT energy (no corrections) ... -21.67 eV for the cell shown
Excess energy over the best structure of this formula in the dataset ... 0 meV per atom
Magnetization ... 0.00 μB per cell
Volume ... 17.2 Å³ per atom
N(E_F) ... 2.09 states/eV per cell

a b c (Å): 8.4093 8.4093 8.4093
angles (deg): 21.29 21.29 21.29
Fractional coordinates of all 4 atoms:
Au 0.2500 0.2500 0.2500
As 0.0091 0.0091 0.0091
As 0.4909 0.4909 0.4909
Ru 0.7500 0.7500 0.7500


[7]
Compound: As2RuAu
Source: Alexandria via LeMat-Bulk
Functional: PBE
Structure: relaxed

Output
Total DFT energy (no corrections) ... -21.23 eV for the cell shown
Excess energy over the best structure of this formula in the dataset ... 111 meV per atom
Magnetization ... 0.00 μB per cell
Volume ... 17.9 Å³ per atom
N(E_F) ... 2.49 states/eV per cell

a b c (Å): 5.2838 5.2838 4.5372
angles (deg): 79.28 79.28 35.21
Fractional coordinates of all 4 atoms:
As 0.7454 0.7454 0.6758
Au 0.5154 0.5154 0.5133
Ru 0.2737 0.2737 0.2538
As 0.9656 0.9656 0.0570


[8]
Compound: As2RuAu
Source: Alexandria via LeMat-Bulk
Functional: PBE
Structure: relaxed

Output
Total DFT energy (no corrections) ... -20.57 eV for the cell shown
Excess energy over the best structure of this formula in the dataset ... 275 meV per atom
Magnetization ... 0.00 μB per cell
Volume ... 18.8 Å³ per atom
N(E_F) ... 3.76 states/eV per cell

a b c (Å): 4.2342 4.2685 4.1516
angles (deg): 90.66 90.00 90.00
Fractional coordinates of all 4 atoms:
Au 0.5000 0.2500 0.2500
As 0.0000 0.4812 0.5784
As 0.0000 0.0188 0.9216
Ru 0.5000 0.7500 0.7500


[9]
Compound: AsRuAu2
Source: Alexandria via LeMat-Bulk
Functional: PBE
Structure: relaxed

Output
Total DFT energy (no corrections) ... -19.54 eV for the cell shown
Magnetization ... 0.00 μB per cell
Volume ... 17.3 Å³ per atom
N(E_F) ... 2.50 states/eV per cell

a b c (Å): 4.1297 3.1970 5.4887
angles (deg): 73.12 90.00 90.00
Fractional coordinates of all 4 atoms:
Au 0.0000 0.9441 0.9870
Ru 0.0000 0.6784 0.5191
Au 0.5000 0.3077 0.2591
As 0.5000 0.5698 0.7349


[10]
Compound: As2RuAu
Source: Alexandria via LeMat-Bulk
Functional: PBE
Structure: relaxed

Output
Total DFT energy (no corrections) ... -20.58 eV for the cell shown
Excess energy over the best structure of this formula in the dataset ... 272 meV per atom
Magnetization ... 0.00 μB per cell
Volume ... 18.4 Å³ per atom
N(E_F) ... 3.42 states/eV per cell

a b c (Å): 2.9013 2.9013 9.8188
angles (deg): 90.00 90.00 117.35
Fractional coordinates of all 4 atoms:
As 0.0000 0.0000 0.9504
Au 0.0000 0.0000 0.5134
As 0.5000 0.5000 0.2771
Ru 0.5000 0.5000 0.7591


[11]
Compound: As2RuAu
Source: Alexandria via LeMat-Bulk
Functional: PBE
Structure: relaxed

Output
Total DFT energy (no corrections) ... -21.58 eV for the cell shown
Excess energy over the best structure of this formula in the dataset ... 22 meV per atom
Magnetization ... 0.00 μB per cell
Volume ... 18.1 Å³ per atom
N(E_F) ... 1.51 states/eV per cell

a b c (Å): 6.7297 6.7297 6.7297
angles (deg): 154.69 146.12 42.76
Fractional coordinates of all 4 atoms:
As 0.0603 0.0603 0.0000
Ru 0.2222 0.7222 0.5000
As 0.7787 0.2787 0.5000
Au 0.4389 0.4389 0.0000


[12]
Compound: AsRuAu
Source: Alexandria via LeMat-Bulk
Functional: PBE
Structure: relaxed

Output
Total DFT energy (no corrections) ... -16.87 eV for the cell shown
Excess energy over the best structure of this formula in the dataset ... 0 meV per atom
Magnetization ... 0.00 μB per cell
Volume ... 16.6 Å³ per atom
N(E_F) ... 1.14 states/eV per cell

a b c (Å): 5.5902 5.5902 5.5902
angles (deg): 147.67 147.67 46.38
Fractional coordinates of all 3 atoms:
Au 0.6670 0.6670 0.0000
As 0.9739 0.9739 0.0000
Ru 0.3592 0.3592 0.0000


Question: The highest total DFT energy (no corrections) belongs to which entry?
Answer: AsRuAu


Question: Which value of volume does entry 3 give?
Answer: 17.2 Å³ per atom


Question: What is the magnetization in the third record?
Answer: 1.10 μB per cell


Question: Look up the N(E_F) of the fourth one.
Answer: 4.20 states/eV per cell